Compound: Mn2Cd3CoO6
Source: Alexandria via LeMat-Bulk
Functional: PBE+U
Structure: relaxed

Results
The value obtained for the total energy is -5.38 eV per atom. The space group is C2/m (12).

Lattice parameters (Å, degrees): 2.941 8.946 8.097 123.10 100.48 89.98
Each line ends with the local moment (μB).
Sites, in units of the cell vectors:
O 0.333 0.503 0.665  -0.08
O 0.356 0.821 0.712  -0.05
O 0.011 0.868 0.021  0.02
O 0.989 0.132 0.979  0.02
O 0.644 0.179 0.288  -0.05
O 0.667 0.497 0.335  -0.08
Cd 0.826 0.001 0.652  0.01
Cd 0.174 0.999 0.348  0.01
Cd 0.500 0.500 0.000  0.00
Mn 0.154 0.344 0.309  3.92
Mn 0.846 0.656 0.691  3.92
Co 0.500 0.000 0.000  0.03